# 1
The following is a DFT calculation (PBE) of a geometry-optimized CaYCl2 structure.

The structure in POSCAR format:
```
CaYCl2
1.0
-3.5124 0.2074 1.5701
2.9244 -2.1639 1.2691
2.7777 6.8666 5.3071
Cl Ca Y
2 1 1
Cartesian
1.3788 3.4086 2.6345 Cl
0.0100 0.0247 0.0191 Cl
1.7892 4.1717 5.3999 Ca
0.4004 0.7384 2.7464 Y
```

Values from the calculation:
symmetry: Cmmm
calculated total energy: -17.37 eV per formula unit


# 2
The following is a DFT calculation (PBE) of a geometry-optimized CaY2Cl8 structure.

The structure in POSCAR format:
```
CaY2Cl8
1.0
7.1489 0.1862 0.1592
1.1686 8.3609 0.9806
1.1686 2.2648 8.1078
Cl Y Ca
8 2 1
Cartesian
6.7725 6.2696 1.5738 Cl
5.2988 1.7671 1.5115 Cl
7.0711 6.8900 5.8931 Cl
2.7136 4.5423 7.6738 Cl
4.1873 9.0448 7.7362 Cl
2.7136 8.2852 3.2978 Cl
2.4150 3.9219 3.3545 Cl
6.7725 2.5267 5.9499 Cl
6.7105 8.7242 7.4620 Y
2.7756 2.0877 1.7857 Y
0.0000 0.0000 0.0000 Ca
```

Values from the calculation:
symmetry: C2/m
calculated total energy: -53.20 eV per formula unit


# 3
The following is a DFT calculation (PBE) of a geometry-optimized Ca2YCl structure.

The structure in POSCAR format:
```
Ca2YCl
1.0
-6.6404 -4.0405 -2.0291
3.9968 -2.3410 4.0873
-2.7171 -0.2235 2.5420
Y Ca Cl
1 2 1
Cartesian
-1.3218 -3.1907 1.0291 Y
-4.6787 -2.1320 0.2564 Ca
0.0000 0.0000 0.0000 Ca
0.6399 -1.2822 3.3146 Cl
```

Values from the calculation:
symmetry: C2/m
calculated total energy: -13.65 eV per formula unit


# 4
The following is a DFT calculation (PBE) of a geometry-optimized CaYCl2 structure.

The structure in POSCAR format:
```
CaYCl2
1.0
9.7304 0.0297 -0.0053
9.0602 3.5486 -0.0048
0.0024 0.0001 3.5848
Cl Ca Y
2 1 1
Cartesian
4.2912 0.8171 1.3425 Cl
0.4291 0.0814 3.1359 Cl
15.0013 2.8565 3.1296 Ca
8.4703 1.6129 1.3387 Y
```

Values from the calculation:
symmetry: Amm2
calculated total energy: -18.08 eV per formula unit


no.,formation energy (no corrections) (eV per atom),Fermi-level density of states (states/eV per cell),mass density (g cm⁻³)
1,-1.303,2.41,3.033
2,-2.136,0.00,1.787
3,-0.334,3.07,2.533
4,-1.481,2.23,2.703